Material: LiTcSe2
Method: DFT, GGA-PBE
State: optimized geometry

The formation energy without anion corrections comes out at -0.3647 eV/atom. The value obtained for the volume is 23.66 Å³/atom. The value obtained for the density of states at the Fermi level is 2.37 states/eV per cell. Its energy above the most stable polymorph in this dataset is 113 meV/atom.

a b c (Å): 5.7537 5.7537 7.0168
angles (deg): 65.80 65.80 90.00
Atoms (fractional coordinates):
Tc (0.0000, 0.0000, 0.0000)
Tc (0.7500, 0.2500, 0.5000)
Se (0.6551, 0.1250, 0.2500)
Se (0.0949, 0.6250, 0.2500)
Se (0.3750, 0.3449, 0.7500)
Se (0.8750, 0.9051, 0.7500)
Li (0.5000, 0.5000, 0.0000)
Li (0.2500, 0.7500, 0.5000)